Record 1
Below is Dy3YIr3 after structural relaxation, with properties calculated at the GGA-PBE level.

Crystal system: trigonal
ΔH_f (0 K) in eV per atom: -0.7249
M_tot in μB per formula unit: 0.00

Cell: 9.6872 9.6872 5.9013 Å, 90.00 90.00 120.00°
Space group R-3m (No. 166, hexagonal axes)
Inequivalent atoms, fractional coordinates:
Dy1 0.0000 0.5000 0.0000 [9 per cell]
Y1 0.0000 0.0000 0.0000 [3 per cell]
Ir1 0.0000 0.5000 0.5000 [9 per cell]

=====

Record 2
Below is CoSiRu after structural relaxation, with properties calculated at the GGA-PBE level.

Crystal system: hexagonal
M_tot in μB per formula unit: 1.62
ΔE_f (raw) in eV per atom: -0.2798

Cell: 3.9485 3.9485 2.7301 Å, 90.00 90.00 120.00°
Space group P-6m2 (No. 187)
Inequivalent atoms, fractional coordinates:
Co1 0.0000 0.0000 0.0000 [1 per cell]
Si1 0.3333 0.6667 0.0000 [1 per cell]
Ru1 0.6667 0.3333 0.5000 [1 per cell]

=====

Record 3
Below is KTlBiF6 after structural relaxation, with properties calculated at the GGA-PBE level.

Crystal system: trigonal
M_tot in μB per formula unit: 0.00
ΔE_f (raw) in eV per atom: -2.2597

Cell: 6.4484 6.4484 9.8183 Å, 90.00 90.00 120.00°
Space group P-31c (No. 163)
Inequivalent atoms, fractional coordinates:
K1 0.3333 0.6667 0.2500 [2 per cell]
Tl1 0.0000 0.0000 0.0000 [2 per cell]
Bi1 0.3333 0.6667 0.7500 [2 per cell]
F1 0.0514 0.3569 0.6265 [12 per cell]

=====

Record 4
Below is Pr4TmSn4 after structural relaxation, with properties calculated at the GGA-PBE level.

Crystal system: tetragonal
ΔH_f (0 K) in eV per atom: -0.5038
M_tot in μB per formula unit: 0.00

Cell: 9.500 9.500 6.534 Å, 90.00 90.00 90.00°
Space group P4_2/n (No. 86, origin choice 2)
Inequivalent atoms, fractional coordinates:
Pr1 0.034 0.671 0.111 [8 per cell]
Tm1 0.250 0.250 0.250 [2 per cell]
Sn1 0.018 0.646 0.603 [8 per cell]

=====

Record 5
Below is PmEr4Tm after structural relaxation, with properties calculated at the GGA-PBE level.

Crystal system: cubic
ΔH_f (0 K) in eV per atom: 0.2750
M_tot in μB per formula unit: 0.99
ΔE to the lowest computed polymorph in meV/atom: 222

Cell: 9.235 9.235 9.235 Å, 90.00 90.00 90.00°
Space group F-43m (No. 216)
Inequivalent atoms, fractional coordinates:
Pm1 0.000 0.000 0.000 [4 per cell]
Er1 0.125 0.125 0.625 [16 per cell]
Tm1 0.250 0.250 0.250 [4 per cell]

=====

Record 6
Below is Cd2Ag2Hg after structural relaxation, with properties calculated at the GGA-PBE level.

Crystal system: tetragonal
ΔH_f (0 K) in eV per atom: 0.1260
M_tot in μB per formula unit: 0.00
ΔE to the lowest computed polymorph in meV/atom: 124

Cell: 4.015 4.015 14.003 Å, 90.00 90.00 90.00°
Space group I4/mmm (No. 139)
Inequivalent atoms, fractional coordinates:
Cd1 0.000 0.500 0.250 [4 per cell]
Ag1 0.000 0.000 0.098 [4 per cell]
Hg1 0.000 0.000 0.500 [2 per cell]

=====

Record 7
Below is NaSmSeBr after structural relaxation, with properties calculated at the GGA-PBE level.

Crystal system: trigonal
M_tot in μB per formula unit: 0.00
ΔE_f (raw) in eV per atom: -1.4460

Cell: 4.0783 4.0783 23.0468 Å, 90.00 90.00 120.00°
Space group R3m (No. 160, hexagonal axes)
Inequivalent atoms, fractional coordinates:
Na1 0.0000 0.0000 0.0000 [3 per cell]
Sm1 0.0000 0.0000 0.1870 [3 per cell]
Se1 0.0000 0.0000 0.5944 [3 per cell]
Br1 0.0000 0.0000 0.7679 [3 per cell]

=====

Record 8
Below is V2IrPt3 after structural relaxation, with properties calculated at the GGA-PBE level.

Crystal system: orthorhombic
ΔH_f (0 K) in eV per atom: -0.4185
M_tot in μB per formula unit: 0.00

Cell: 5.471 5.536 23.966 Å, 90.00 90.00 90.00°
Space group Fmmm (No. 69)
Inequivalent atoms, fractional coordinates:
V1 0.000 0.249 0.000 [8 per cell]
V2 0.250 0.250 0.250 [8 per cell]
Ir1 0.000 0.000 0.178 [8 per cell]
Pt1 0.000 0.000 0.325 [8 per cell]
Pt2 0.248 0.000 0.076 [16 per cell]

=====

Record 9
Below is VAg3Pb after structural relaxation, with properties calculated at the GGA-PBE level.

Crystal system: cubic
ΔH_f (0 K) in eV per atom: 1.1503
M_tot in μB per formula unit: 4.01
ΔE to the lowest computed polymorph in meV/atom: 217

Cell: 5.253 5.253 5.253 Å, 90.00 90.00 90.00°
Space group Pm-3m (No. 221)
Inequivalent atoms, fractional coordinates:
V1 0.000 0.000 0.000 [1 per cell]
Ag1 0.000 0.500 0.500 [3 per cell]
Pb1 0.500 0.500 0.500 [1 per cell]

=====

Record 10
Below is CeUTlS4 after structural relaxation, with properties calculated at the GGA-PBE level.

Crystal system: orthorhombic
M_tot in μB per formula unit: 3.00
ΔE_f (raw) in eV per atom: -1.3593

Cell: 8.260 8.764 11.873 Å, 90.00 90.00 90.00°
Space group Imma (No. 74)
Inequivalent atoms, fractional coordinates:
Ce1 0.000 0.000 0.000 [4 per cell]
U1 0.250 0.250 0.250 [4 per cell]
Tl1 0.000 0.250 0.633 [4 per cell]
S1 0.000 0.048 0.237 [8 per cell]
S2 0.218 0.250 0.022 [8 per cell]

=====

Record 11
Below is CsRb2BaAg after structural relaxation, with properties calculated at the GGA-PBE level.

Crystal system: tetragonal
ΔH_f (0 K) in eV per atom: 0.0653
M_tot in μB per formula unit: 0.00

Cell: 7.258 7.258 6.729 Å, 90.00 90.00 90.00°
Space group P4/mmm (No. 123)
Inequivalent atoms, fractional coordinates:
Cs1 0.000 0.000 0.000 [1 per cell]
Rb1 0.000 0.500 0.500 [2 per cell]
Ba1 0.500 0.500 0.000 [1 per cell]
Ag1 0.500 0.500 0.500 [1 per cell]

=====

Record 12
Below is NiMoW2 after structural relaxation, with properties calculated at the GGA-PBE level.

Crystal system: tetragonal
ΔH_f (0 K) in eV per atom: 0.1400
M_tot in μB per formula unit: 0.00
ΔE to the lowest computed polymorph in meV/atom: 80

Cell: 3.210 3.210 5.759 Å, 90.00 90.00 90.00°
Space group P4/mmm (No. 123)
Inequivalent atoms, fractional coordinates:
Ni1 0.000 0.000 0.000 [1 per cell]
Mo1 0.000 0.000 0.500 [1 per cell]
W1 0.500 0.500 0.237 [2 per cell]